BaZr2Ir: single point on PBEsol structure, meta-GGA SCAN.

a = 4.247 Å, b = 4.247 Å, c = 7.627 Å
α = 73.83°, β = 73.83°, γ = 60.00°
Fractional positions:
Zr (0.713, 0.713, 0.862)
Zr (0.287, 0.287, 0.138)
Ba (0.500, 0.500, 0.500)
Ir (0.000, 0.000, 0.000)

The calculated total energy is -43.29 eV/atom. The value obtained for the formation energy is -0.2815 eV per atom. Its energy above the most stable polymorph in this dataset is 0 meV/atom. The value obtained for the magnetization is 0.000 μB/atom.

KBa4: single point on PBEsol structure, meta-GGA SCAN.

a = 7.676 Å, b = 7.676 Å, c = 7.676 Å
α = 109.47°, β = 109.47°, γ = 109.47°
Fractional positions:
Ba (0.500, 0.000, 0.000)
Ba (0.500, 0.500, 0.500)
Ba (0.000, 0.000, 0.500)
Ba (0.000, 0.500, 0.000)
K (0.000, 0.000, 0.000)

The calculated total energy is -32.83 eV/atom. The value obtained for the formation energy is 0.4798 eV per atom. The value obtained for the magnetization is 0.087 μB/atom.

KBa5: single point on PBEsol structure, meta-GGA SCAN.

a = 7.219 Å, b = 7.631 Å, c = 7.631 Å
α = 120.00°, β = 90.00°, γ = 90.00°
Fractional positions:
Ba (0.500, 0.667, 0.333)
Ba (0.000, 0.661, 0.000)
Ba (0.000, 0.000, 0.661)
Ba (0.500, 0.333, 0.667)
Ba (0.000, 0.339, 0.339)
K (0.500, 0.000, 0.000)

The calculated total energy is -34.30 eV/atom. The value obtained for the formation energy is 0.0499 eV per atom. Its energy above the most stable polymorph in this dataset is 0 meV/atom. The value obtained for the magnetization is 0.147 μB/atom.

KBa5: single point on PBEsol structure, meta-GGA SCAN.

a = 4.338 Å, b = 8.477 Å, c = 10.578 Å
α = 104.64°, β = 90.00°, γ = 104.83°
Fractional positions:
K (0.725, 0.450, 0.947)
Ba (0.057, 0.115, 0.615)
Ba (0.998, 0.996, 0.997)
Ba (0.662, 0.324, 0.332)
Ba (0.391, 0.782, 0.285)
Ba (0.333, 0.665, 0.656)

The calculated total energy is -34.27 eV/atom. The value obtained for the formation energy is 0.0746 eV per atom. Its energy above the most stable polymorph in this dataset is 25 meV/atom. The value obtained for the magnetization is 0.025 μB/atom.

K2Ba: single point on PBEsol structure, meta-GGA SCAN.

a = 4.697 Å, b = 7.531 Å, c = 11.769 Å
α = 108.66°, β = 90.00°, γ = 90.00°
Fractional positions:
K (0.750, 0.577, 0.153)
K (0.750, 0.260, 0.519)
K (0.250, 0.740, 0.481)
K (0.250, 0.423, 0.847)
Ba (0.750, 0.917, 0.833)
Ba (0.250, 0.083, 0.167)

The calculated total energy is -18.64 eV/atom. The value obtained for the formation energy is 0.0935 eV per atom. The value obtained for the magnetization is 0.000 μB/atom.

K8Ba: single point on PBEsol structure, meta-GGA SCAN.

a = 4.892 Å, b = 11.460 Å, c = 11.460 Å
α = 87.39°, β = 77.68°, γ = 77.68°
Fractional positions:
K (0.000, 0.329, 0.671)
K (0.329, 0.671, 0.671)
K (0.668, 0.000, 0.664)
K (0.671, 0.329, 0.329)
K (0.332, 0.000, 0.336)
K (0.668, 0.664, 0.000)
K (0.332, 0.336, 0.000)
K (0.000, 0.671, 0.329)
Ba (0.000, 0.000, 0.000)

The calculated total energy is -11.76 eV/atom. The value obtained for the formation energy is 0.0422 eV per atom. The value obtained for the magnetization is 0.019 μB/atom.

K2Ba: single point on PBEsol structure, meta-GGA SCAN.

a = 4.279 Å, b = 4.279 Å, c = 11.082 Å
α = 101.13°, β = 101.13°, γ = 90.00°
Fractional positions:
K (0.164, 0.164, 0.327)
K (0.836, 0.836, 0.673)
Ba (0.500, 0.500, 0.000)

The calculated total energy is -18.66 eV/atom. The value obtained for the formation energy is 0.0754 eV per atom. The value obtained for the magnetization is 0.004 μB/atom.

K7Ba: single point on PBEsol structure, meta-GGA SCAN.

a = 9.197 Å, b = 9.197 Å, c = 9.197 Å
α = 60.00°, β = 60.00°, γ = 60.00°
Fractional positions:
K (0.500, 0.500, 0.500)
K (0.500, 0.000, 0.000)
K (0.500, 0.500, 0.000)
K (0.000, 0.500, 0.000)
K (0.000, 0.000, 0.500)
K (0.500, 0.000, 0.500)
K (0.000, 0.500, 0.500)
Ba (0.000, 0.000, 0.000)

The calculated total energy is -12.17 eV/atom. The value obtained for the formation energy is 0.0605 eV per atom. The value obtained for the magnetization is 0.013 μB/atom.

KBa2: single point on PBEsol structure, meta-GGA SCAN.

a = 4.395 Å, b = 4.395 Å, c = 11.203 Å
α = 90.00°, β = 90.00°, γ = 120.00°
Fractional positions:
Ba (0.667, 0.333, 0.659)
Ba (0.333, 0.667, 0.341)
K (0.000, 0.000, 0.000)

The calculated total energy is -29.07 eV/atom. The value obtained for the formation energy is 0.0747 eV per atom. The value obtained for the magnetization is 0.039 μB/atom.

K2Ba: single point on PBEsol structure, meta-GGA SCAN.

a = 7.134 Å, b = 7.134 Å, c = 7.134 Å
α = 60.00°, β = 60.00°, γ = 60.00°
Fractional positions:
Ba (0.000, 0.000, 0.000)
K (0.750, 0.750, 0.750)
K (0.250, 0.250, 0.250)

The calculated total energy is -18.32 eV/atom. The value obtained for the formation energy is 0.4180 eV per atom. The value obtained for the magnetization is 0.000 μB/atom.

KBa2: single point on PBEsol structure, meta-GGA SCAN.

a = 4.109 Å, b = 4.109 Å, c = 21.986 Å
α = 95.36°, β = 95.36°, γ = 90.00°
Fractional positions:
K (0.250, 0.750, 0.500)
K (0.000, 0.000, 0.000)
Ba (0.667, 0.167, 0.333)
Ba (0.583, 0.583, 0.167)
Ba (0.417, 0.417, 0.833)
Ba (0.833, 0.333, 0.667)

The calculated total energy is -29.00 eV/atom. The value obtained for the formation energy is 0.1445 eV per atom. The value obtained for the magnetization is 0.012 μB/atom.

KBa2: single point on PBEsol structure, meta-GGA SCAN.

a = 4.362 Å, b = 8.602 Å, c = 10.706 Å
α = 105.80°, β = 90.01°, γ = 104.66°
Fractional positions:
K (0.721, 0.442, 0.943)
K (0.060, 0.121, 0.617)
Ba (0.390, 0.780, 0.284)
Ba (0.665, 0.330, 0.328)
Ba (0.995, 0.990, 0.003)
Ba (0.335, 0.670, 0.658)

The calculated total energy is -29.05 eV/atom. The value obtained for the formation energy is 0.0933 eV per atom. The value obtained for the magnetization is 0.008 μB/atom.

no.,calculated volume (Å³ per cell)
1,113
2,348
3,364
4,363
5,394
6,613
7,195
8,550
9,187
10,257
11,368
12,373